No. 1
# Pr2SmHo6Er3 | the Alexandria database | PBE-GGA | relaxed
data_Pr2SmHo6Er3
_cell_length_a 6.1723
_cell_length_b 10.6829
_cell_length_c 11.7744
_cell_angle_alpha 90.00
_cell_angle_beta 100.03
_cell_angle_gamma 90.00
_symmetry_space_group_name_H-M 'C 1 2/m 1'
_symmetry_Int_Tables_number 12
loop_
_symmetry_equiv_pos_as_xyz
'x,y,z'
'-x,-y,-z'
'-x,y,-z'
'x,-y,z'
'x+1/2,y+1/2,z'
'-x+1/2,-y+1/2,-z'
'-x+1/2,y+1/2,-z'
'x+1/2,-y+1/2,z'
loop_
_atom_site_label
_atom_site_fract_x
_atom_site_fract_y
_atom_site_fract_z
_atom_site_occupancy
Pr1 0.0000 0.1667 0.0000 1
Sm1 0.0000 0.5000 0.0000 1
Ho1 0.2472 0.5000 0.7451 1
Ho2 0.2479 0.1665 0.7451 1
Er1 0.0000 0.0000 0.5000 1
Er2 0.0000 0.3336 0.5000 1
# * spin magnetization: 0.000 μB/f.u.
# * formation enthalpy at 0 K: 22 meV/atom

No. 2
# CdCo | the Alexandria database | PBE-GGA | relaxed
data_CdCo
_cell_length_a 2.8427
_cell_length_b 2.8427
_cell_length_c 27.6774
_cell_angle_alpha 90.00
_cell_angle_beta 90.00
_cell_angle_gamma 120.00
_symmetry_space_group_name_H-M 'R -3 m'
_symmetry_Int_Tables_number 166
_symmetry_space_group_name_Hall '-R 3 2"'
loop_
_atom_site_label
_atom_site_fract_x
_atom_site_fract_y
_atom_site_fract_z
_atom_site_occupancy
Cd1 0.0000 0.0000 0.1151 1
Co1 0.0000 0.0000 0.3648 1
# * spin magnetization: 1.702 μB/f.u.
# * formation enthalpy at 0 K: 301 meV/atom

No. 3
# Mg2Zn2Sn | the Alexandria database | PBE-GGA | relaxed
data_Mg2Zn2Sn
_cell_length_a 4.1999
_cell_length_b 4.1999
_cell_length_c 12.0811
_cell_angle_alpha 90.00
_cell_angle_beta 90.00
_cell_angle_gamma 90.00
_symmetry_space_group_name_H-M 'I 4/m m m'
_symmetry_Int_Tables_number 139
_symmetry_space_group_name_Hall '-I 4 2'
loop_
_atom_site_label
_atom_site_fract_x
_atom_site_fract_y
_atom_site_fract_z
_atom_site_occupancy
Mg1 0.0000 0.5000 0.2500 1
Zn1 0.0000 0.0000 0.1003 1
Sn1 0.0000 0.0000 0.5000 1
# * spin magnetization: 0.000 μB/f.u.
# * formation enthalpy at 0 K: 66 meV/atom

No. 4
# Pr4ErMg3 | the Alexandria database | PBE-GGA | relaxed
data_Pr4ErMg3
_cell_length_a 3.8679
_cell_length_b 5.6407
_cell_length_c 11.3331
_cell_angle_alpha 90.00
_cell_angle_beta 90.00
_cell_angle_gamma 90.00
_symmetry_space_group_name_H-M 'P m m m'
_symmetry_Int_Tables_number 47
loop_
_symmetry_equiv_pos_as_xyz
'x,y,z'
'-x,-y,-z'
'-x,-y,z'
'x,y,-z'
'x,-y,-z'
'-x,y,z'
'-x,y,-z'
'x,-y,z'
loop_
_atom_site_label
_atom_site_fract_x
_atom_site_fract_y
_atom_site_fract_z
_atom_site_occupancy
Pr1 0.0000 0.0000 0.0000 1
Pr2 0.0000 0.0000 0.5000 1
Pr3 0.0000 0.5000 0.2411 1
Er1 0.5000 0.5000 0.5000 1
Mg1 0.5000 0.0000 0.2505 1
Mg2 0.5000 0.5000 0.0000 1
# * spin magnetization: 0.000 μB/f.u.
# * formation enthalpy at 0 K: -49 meV/atom

No. 5
# MnTl5S4 | the Alexandria database | PBE-GGA | relaxed
data_MnTl5S4
_cell_length_a 17.7986
_cell_length_b 3.8753
_cell_length_c 8.1280
_cell_angle_alpha 90.00
_cell_angle_beta 104.26
_cell_angle_gamma 90.00
_symmetry_space_group_name_H-M 'C 1 2/m 1'
_symmetry_Int_Tables_number 12
loop_
_symmetry_equiv_pos_as_xyz
'x,y,z'
'-x,-y,-z'
'-x,y,-z'
'x,-y,z'
'x+1/2,y+1/2,z'
'-x+1/2,-y+1/2,-z'
'-x+1/2,y+1/2,-z'
'x+1/2,-y+1/2,z'
loop_
_atom_site_label
_atom_site_fract_x
_atom_site_fract_y
_atom_site_fract_z
_atom_site_occupancy
Mn1 0.0000 0.0000 0.0000 1
Tl1 0.0000 0.0000 0.5000 1
Tl2 0.1596 0.5000 0.7993 1
Tl3 0.1782 0.5000 0.3178 1
S1 0.0109 0.5000 0.2069 1
S2 0.1419 0.0000 0.0430 1
# * spin magnetization: 3.991 μB/f.u.
# * ΔE_f (raw): -7.93 kcal/mol of atoms

No. 6
# LiCaTm2Hg4 | the Alexandria database | PBE-GGA | relaxed
data_LiCaTm2Hg4
_cell_length_a 5.1183
_cell_length_b 5.1183
_cell_length_c 25.3146
_cell_angle_alpha 90.00
_cell_angle_beta 90.00
_cell_angle_gamma 120.00
_symmetry_space_group_name_H-M 'R -3 m'
_symmetry_Int_Tables_number 166
_symmetry_space_group_name_Hall '-R 3 2"'
loop_
_atom_site_label
_atom_site_fract_x
_atom_site_fract_y
_atom_site_fract_z
_atom_site_occupancy
Li1 0.0000 0.0000 0.0000 1
Ca1 0.0000 0.0000 0.5000 1
Tm1 0.0000 0.0000 0.2532 1
Hg1 0.0000 0.0000 0.1200 1
Hg2 0.0000 0.0000 0.3731 1
# * spin magnetization: 0.000 μB/f.u.
# * formation enthalpy at 0 K: -451 meV/atom

No. 7
# BeZnPb | the Alexandria database | PBE-GGA | relaxed
data_BeZnPb
_cell_length_a 6.5575
_cell_length_b 3.7854
_cell_length_c 9.8062
_cell_angle_alpha 90.00
_cell_angle_beta 103.74
_cell_angle_gamma 90.00
_symmetry_space_group_name_H-M 'C 1 m 1'
_symmetry_Int_Tables_number 8
loop_
_symmetry_equiv_pos_as_xyz
'x,y,z'
'x,-y,z'
'x+1/2,y+1/2,z'
'x+1/2,-y+1/2,z'
loop_
_atom_site_label
_atom_site_fract_x
_atom_site_fract_y
_atom_site_fract_z
_atom_site_occupancy
Be1 0.0000 0.0000 0.0000 1
Be2 0.1663 0.5000 0.9991 1
Zn1 0.2886 0.0000 0.8720 1
Zn2 0.3773 0.0000 0.1274 1
Pb1 0.0497 0.5000 0.6662 1
Pb2 0.2849 0.5000 0.3350 1
# * spin magnetization: 0.000 μB/f.u.
# * formation enthalpy at 0 K: 200 meV/atom

No. 8
# Nd12HoSc7 | the Alexandria database | PBE-GGA | relaxed
data_Nd12HoSc7
_cell_length_a 14.8970
_cell_length_b 14.8970
_cell_length_c 9.7985
_cell_angle_alpha 90.00
_cell_angle_beta 90.00
_cell_angle_gamma 120.00
_symmetry_space_group_name_H-M 'R -3'
_symmetry_Int_Tables_number 148
_symmetry_space_group_name_Hall '-R 3'
loop_
_atom_site_label
_atom_site_fract_x
_atom_site_fract_y
_atom_site_fract_z
_atom_site_occupancy
Nd1 0.0397 0.8461 0.2553 1
Nd2 0.0437 0.7872 0.5817 1
Ho1 0.0000 0.0000 0.0000 1
Sc1 0.0000 0.0000 0.5000 1
Sc2 0.0707 0.8272 0.9291 1
# * spin magnetization: 0.004 μB/f.u.
# * formation enthalpy at 0 K: 152 meV/atom

No. 9
# SrCeTcN3 | the Alexandria database | PBE-GGA | relaxed
data_SrCeTcN3
_cell_length_a 6.7345
_cell_length_b 3.5470
_cell_length_c 9.0756
_cell_angle_alpha 90.00
_cell_angle_beta 100.65
_cell_angle_gamma 90.00
_symmetry_space_group_name_H-M 'P 1 21/m 1'
_symmetry_Int_Tables_number 11
loop_
_symmetry_equiv_pos_as_xyz
'x,y,z'
'-x,-y,-z'
'-x,y+1/2,-z'
'x,-y+1/2,z'
loop_
_atom_site_label
_atom_site_fract_x
_atom_site_fract_y
_atom_site_fract_z
_atom_site_occupancy
Sr1 0.2482 0.2500 0.2471 1
Ce1 0.3202 0.2500 0.8671 1
Tc1 0.1170 0.7500 0.5722 1
N1 0.0008 0.2500 0.6536 1
N2 0.3306 0.7500 0.0423 1
N3 0.3706 0.7500 0.6998 1
# * spin magnetization: 0.000 μB/f.u.
# * ΔE_f (raw): -18.01 kcal/mol of atoms

No. 10
# LiSbSe3 | the Alexandria database | PBE-GGA | relaxed
data_LiSbSe3
_cell_length_a 5.3619
_cell_length_b 5.3619
_cell_length_c 5.3619
_cell_angle_alpha 90.00
_cell_angle_beta 90.00
_cell_angle_gamma 90.00
_symmetry_space_group_name_H-M 'P m -3 m'
_symmetry_Int_Tables_number 221
_symmetry_space_group_name_Hall '-P 4 2 3'
loop_
_atom_site_label
_atom_site_fract_x
_atom_site_fract_y
_atom_site_fract_z
_atom_site_occupancy
Li1 0.0000 0.0000 0.0000 1
Sb1 0.5000 0.5000 0.5000 1
Se1 0.0000 0.5000 0.5000 1
# * spin magnetization: 0.000 μB/f.u.
# * ΔE_f (raw): 0.71 kcal/mol of atoms

No. 11
# LaCd2Co | the Alexandria database | PBE-GGA | relaxed
data_LaCd2Co
_cell_length_a 4.0634
_cell_length_b 4.0634
_cell_length_c 5.4174
_cell_angle_alpha 90.00
_cell_angle_beta 90.00
_cell_angle_gamma 90.00
_symmetry_space_group_name_H-M 'P 4/m m m'
_symmetry_Int_Tables_number 123
_symmetry_space_group_name_Hall '-P 4 2'
loop_
_atom_site_label
_atom_site_fract_x
_atom_site_fract_y
_atom_site_fract_z
_atom_site_occupancy
La1 0.0000 0.0000 0.0000 1
Cd1 0.0000 0.5000 0.5000 1
Co1 0.5000 0.5000 0.0000 1
# * spin magnetization: 0.000 μB/f.u.
# * formation enthalpy at 0 K: 61 meV/atom

No. 12
# TlReNi | the Alexandria database | PBE-GGA | relaxed
data_TlReNi
_cell_length_a 2.9106
_cell_length_b 2.9106
_cell_length_c 6.7465
_cell_angle_alpha 90.00
_cell_angle_beta 90.00
_cell_angle_gamma 120.00
_symmetry_space_group_name_H-M 'P 3 m 1'
_symmetry_Int_Tables_number 156
loop_
_symmetry_equiv_pos_as_xyz
'x,y,z'
'-y,x-y,z'
'-x+y,-x,z'
'-y,-x,z'
'-x+y,y,z'
'x,x-y,z'
loop_
_atom_site_label
_atom_site_fract_x
_atom_site_fract_y
_atom_site_fract_z
_atom_site_occupancy
Tl1 0.0000 0.0000 0.0000 1
Re1 0.3333 0.6667 0.6218 1
Ni1 0.6667 0.3333 0.3419 1
# * spin magnetization: 0.000 μB/f.u.
# * formation enthalpy at 0 K: 649 meV/atom